18
Lattice="-7.1245 2.1503 2.0912 -5.4049 -5.4164 -1.0979 -2.5405 -3.3182 6.5031" Properties=species:S:1:pos:R:3 comment="Th2MgGe3Pt12 (GGA-PBE, optimized geometry)" spacegroup="R-3m, No. 166" magmom_total_mub_per_cell=0.00 formation_energy_ev_per_atom=-0.45 e_tot_ev_per_atom=-6.1646 pbc="T T T"
Th -9.2340 -4.0345 4.5934
Th -5.8358 -2.5498 2.9030
Mg 0.0000 0.0000 0.0000
Ge -3.5622 1.0751 1.0456
Ge -2.7024 -2.7082 -0.5489
Ge -1.2703 -1.6591 3.2515
Pt -6.8407 -4.1509 6.1601
Pt -11.7236 -4.0591 3.3093
Pt -9.5166 -6.6920 5.4335
Pt -9.2530 -1.2731 3.8384
Pt -10.3445 -3.0488 6.9690
Pt -8.3481 -5.2551 2.1601
Pt -8.2291 -2.4334 1.3364
Pt -3.3462 -2.5252 4.1872
Pt -5.5533 0.1078 2.0630
Pt -5.8168 -5.3112 3.6581
Pt -4.7253 -3.5354 0.5275
Pt -6.7217 -1.3292 5.3364